DFT (PBE-GGA) results for a geometry-optimized Co2TeIr structure.

It has space group F-43m (No. 216), with a = 6.1949 Å, b = 6.1949 Å, c = 6.1949 Å, α = 90.00°, β = 90.00° and γ = 90.00°. The inequivalent atoms are Co at (0.0000, 0.0000, 0.0000), Co at (0.2500, 0.2500, 0.2500), Te at (0.0000, 0.0000, 0.5000) and Ir at (0.2500, 0.2500, 0.7500).

As for the crystal system: cubic. The total energy comes out at -98.21 eV for the cell shown.

***

DFT (PBE-GGA) results for a geometry-optimized Co2TeIr structure.

It has space group I-4m2 (No. 119), with a = 3.8572 Å, b = 3.8572 Å, c = 7.6791 Å, α = 90.00°, β = 90.00° and γ = 90.00°. The inequivalent atoms are Co at (0.0000, 0.0000, 0.0000), Co at (0.0000, 0.5000, 0.2500), Te at (0.0000, 0.5000, 0.7500) and Ir at (0.0000, 0.0000, 0.5000).

As for the crystal system: tetragonal. The total energy comes out at -50.11 eV for the cell shown.